Crystalline LaTmRhI at its relaxed geometry. Source: Alexandria via LeMat-Bulk, functional GGA-PBE.

Properties
* formation energy (no corrections): -22.70 kcal/mol of atoms
* SG: R3m (160)

Cell: 4.117 4.117 8.441 Å, 90.00 104.12 120.00°
Atoms (fractional coordinates):
Rh 0.311 0.553 0.879
La 0.515 0.155 0.686
Tm 0.092 0.944 0.051
I 0.960 0.378 0.354


Crystalline Sc3UC4 at its relaxed geometry. Source: Alexandria via LeMat-Bulk, functional GGA-PBE.

Properties
* SG: P2/c (13)
* ΔH_f (0 K): -2.905 eV/f.u.

Cell: 5.899 5.824 6.714 Å, 90.00 90.00 110.14°
Atoms (fractional coordinates):
C 0.497 0.233 0.886
C 0.997 0.233 0.114
C 0.510 0.753 0.633
C 0.490 0.247 0.367
C 0.003 0.767 0.886
C 0.990 0.247 0.633
C 0.010 0.753 0.367
C 0.503 0.767 0.114
U 0.750 0.000 0.867
U 0.250 0.000 0.133
Sc 0.250 0.500 0.382
Sc 0.250 0.000 0.623
Sc 0.750 0.000 0.377
Sc 0.750 0.500 0.618
Sc 0.250 0.500 0.869
Sc 0.750 0.500 0.131


What did the second record say?
Crystalline Sc3UC4 at its relaxed geometry. Source: Alexandria via LeMat-Bulk, functional GGA-PBE.

Properties
* SG: P2/c (13)
* ΔH_f (0 K): -2.905 eV/f.u.

Cell: 5.899 5.824 6.714 Å, 90.00 90.00 110.14°
Atoms (fractional coordinates):
C 0.497 0.233 0.886
C 0.997 0.233 0.114
C 0.510 0.753 0.633
C 0.490 0.247 0.367
C 0.003 0.767 0.886
C 0.990 0.247 0.633
C 0.010 0.753 0.367
C 0.503 0.767 0.114
U 0.750 0.000 0.867
U 0.250 0.000 0.133
Sc 0.250 0.500 0.382
Sc 0.250 0.000 0.623
Sc 0.750 0.000 0.377
Sc 0.750 0.500 0.618
Sc 0.250 0.500 0.869
Sc 0.750 0.500 0.131


Q: Which formula does entry 2 have?
A: Sc3UC4